Entry 1:
{"formula": "AlAu3", "functional": "PBEsol", "state": "relaxed", "lattice": [[3.097, 0.000, 0.000], [0.000, 3.278, 0.000], [0.000, 0.000, 6.414]], "species": ["Al", "Au", "Au", "Au"], "fractional_positions": [[0.000, 0.000, 0.000], [0.000, 0.000, 0.500], [0.500, 0.500, 0.225], [0.500, 0.500, 0.775]], "energy_ry_per_atom": -0.30899, "vol_a3_per_atom": 16.282, "sg": "Pmmm", "n_ef_per_ev_cell": 1.18, "ef_ev_per_atom": -0.24}



Entry 2:
{"formula": "Si2Pt", "functional": "PBEsol", "state": "relaxed", "lattice": [[-1.470, 1.470, 10.454], [1.470, -1.470, 10.454], [1.470, 1.470, -10.454]], "species": ["Si", "Si", "Si", "Si", "Pt", "Pt"], "fractional_positions": [[0.300, 0.550, 0.750], [0.450, 0.700, 0.750], [0.550, 0.300, 0.250], [0.700, 0.450, 0.250], [0.125, 0.875, 0.250], [0.875, 0.125, 0.750]], "energy_ry_per_atom": -0.46361, "vol_a3_per_atom": 15.061, "sg": "I4_1/amd", "n_ef_per_ev_cell": 2.34, "e_form_raw_ev_per_atom": -0.16}



Entry 3:
{"formula": "FeSiW", "functional": "PBEsol", "state": "relaxed", "lattice": [[0.000, 2.809, 2.809], [2.809, 0.000, 2.809], [2.809, 2.809, 0.000]], "species": ["Fe", "Si", "W"], "fractional_positions": [[0.000, 0.000, 0.000], [0.250, 0.250, 0.250], [0.500, 0.500, 0.500]], "energy_ry_per_atom": -0.67013, "vol_a3_per_atom": 14.781, "sg": "F-43m", "n_ef_per_ev_cell": 2.81, "relative_energy_mev_per_atom": 753, "e_form_raw_ev_per_atom": 0.39}



Entry 4:
{"formula": "Cs2Li2Mg", "functional": "PBEsol", "state": "relaxed", "lattice": [[8.351, 0.000, 0.000], [0.000, 8.351, 0.000], [0.000, 0.000, 6.375]], "species": ["Cs", "Cs", "Cs", "Cs", "Li", "Li", "Li", "Li", "Mg", "Mg"], "fractional_positions": [[0.188, 0.312, 0.000], [0.312, 0.812, 0.000], [0.688, 0.188, 0.000], [0.812, 0.688, 0.000], [0.136, 0.636, 0.500], [0.364, 0.136, 0.500], [0.636, 0.864, 0.500], [0.864, 0.364, 0.500], [0.000, 0.000, 0.500], [0.500, 0.500, 0.500]], "energy_ry_per_atom": -0.09459, "vol_a3_per_atom": 44.458, "sg": "P4/mbm", "n_ef_per_ev_cell": 7.83, "ef_ev_per_atom": 0.22, "relative_energy_mev_per_atom": 0}



Entry 5:
{"formula": "CoBi2Pt", "functional": "PBEsol", "state": "relaxed", "lattice": [[0.000, 3.407, 3.407], [3.407, 0.000, 3.407], [3.407, 3.407, 0.000]], "species": ["Co", "Bi", "Bi", "Pt"], "fractional_positions": [[0.000, 0.000, 0.000], [0.250, 0.250, 0.250], [0.750, 0.750, 0.750], [0.500, 0.500, 0.500]], "energy_ry_per_atom": -0.40567, "vol_a3_per_atom": 19.770, "sg": "Fm-3m", "n_ef_per_ev_cell": 5.73, "ef_ev_per_atom": 0.30}



Entry 6:
{"formula": "ZrSc2In", "functional": "PBEsol", "state": "relaxed", "lattice": [[-2.184, 2.184, 4.541], [2.184, -2.184, 4.541], [2.184, 2.184, -4.541]], "species": ["Zr", "Sc", "Sc", "In"], "fractional_positions": [[0.000, 0.000, 0.000], [0.250, 0.750, 0.500], [0.750, 0.250, 0.500], [0.500, 0.500, 0.000]], "energy_ry_per_atom": -0.48375, "vol_a3_per_atom": 21.668, "sg": "I4/mmm", "n_ef_per_ev_cell": 5.46, "ef_ev_per_atom": -0.26}



Entry 7:
{"formula": "Li3CuOF3", "functional": "PBEsol", "state": "relaxed", "lattice": [[2.771, 0.000, 0.000], [0.000, 2.771, 0.000], [0.000, 0.000, 8.924]], "species": ["Li", "Li", "Li", "Cu", "O", "F", "F", "F"], "fractional_positions": [[0.000, 0.000, 0.000], [0.500, 0.500, 0.229], [0.500, 0.500, 0.771], [0.000, 0.000, 0.500], [0.500, 0.500, 0.500], [0.000, 0.000, 0.226], [0.000, 0.000, 0.774], [0.500, 0.500, 0.000]], "energy_ry_per_atom": -0.36558, "vol_a3_per_atom": 8.563, "sg": "P4/mmm", "n_ef_per_ev_cell": 2.00, "e_form_raw_ev_per_atom": -2.32}



Entry 8:
{"formula": "BaTl2Tc", "functional": "PBEsol", "state": "relaxed", "lattice": [[-1.646, 2.863, 5.560], [1.646, -2.863, 5.560], [1.646, 2.863, -5.560]], "species": ["Ba", "Tl", "Tl", "Tc"], "fractional_positions": [[0.000, 0.000, 0.000], [0.294, 0.794, 0.500], [0.706, 0.206, 0.500], [0.500, 0.500, 0.000]], "energy_ry_per_atom": -0.30876, "vol_a3_per_atom": 26.204, "sg": "Immm", "n_ef_per_ev_cell": 3.52, "ef_ev_per_atom": 0.47, "relative_energy_mev_per_atom": 0}